Version P
DFT (PBE) results for a relaxed structure of MnSn3S.

```
data_MnSn3S
_symmetry_space_group_name_H-M 'P m -3 m'
_symmetry_Int_Tables_number 221
_symmetry_space_group_name_Hall '-P 4 2 3'
_cell_length_a 4.9662
_cell_length_b 4.9662
_cell_length_c 4.9662
_cell_angle_alpha 90.00
_cell_angle_beta 90.00
_cell_angle_gamma 90.00
loop_
_atom_site_label
_atom_site_type_symbol
_atom_site_fract_x
_atom_site_fract_y
_atom_site_fract_z
Mn1 Mn 0.0000 0.0000 0.0000
Sn1 Sn 0.0000 0.0000 0.5000
S1 S 0.5000 0.5000 0.5000
```

Values from the calculation:
V   122 Å³/cell

Version Q
DFT (PBE) results for a relaxed structure of MnSn3S.

```
data_MnSn3S
_symmetry_space_group_name_H-M 'P m -3 m'
_symmetry_Int_Tables_number 221
_symmetry_space_group_name_Hall '-P 4 2 3'
_cell_length_a 5.0139
_cell_length_b 5.0139
_cell_length_c 5.0139
_cell_angle_alpha 90.00
_cell_angle_beta 90.00
_cell_angle_gamma 90.00
loop_
_atom_site_label
_atom_site_type_symbol
_atom_site_fract_x
_atom_site_fract_y
_atom_site_fract_z
Mn1 Mn 0.0000 0.0000 0.0000
Sn1 Sn 0.0000 0.5000 0.5000
S1 S 0.5000 0.5000 0.5000
```

Values from the calculation:
V   126 Å³/cell

Computed energies relative to the best structure, in eV/atom: version P 0.000; version Q 0.555

Version P
DFT (PBE) results for a relaxed structure of SrMn3S.

```
data_SrMn3S
_symmetry_space_group_name_H-M 'P m -3 m'
_symmetry_Int_Tables_number 221
_symmetry_space_group_name_Hall '-P 4 2 3'
_cell_length_a 4.5486
_cell_length_b 4.5486
_cell_length_c 4.5486
_cell_angle_alpha 90.00
_cell_angle_beta 90.00
_cell_angle_gamma 90.00
loop_
_atom_site_label
_atom_site_type_symbol
_atom_site_fract_x
_atom_site_fract_y
_atom_site_fract_z
Sr1 Sr 0.0000 0.0000 0.0000
Mn1 Mn 0.0000 0.5000 0.5000
S1 S 0.5000 0.5000 0.5000
```

Values from the calculation:
V   94 Å³/cell

Version Q
DFT (PBE) results for a relaxed structure of SrMn3S.

```
data_SrMn3S
_symmetry_space_group_name_H-M 'P m -3 m'
_symmetry_Int_Tables_number 221
_symmetry_space_group_name_Hall '-P 4 2 3'
_cell_length_a 5.0857
_cell_length_b 5.0857
_cell_length_c 5.0857
_cell_angle_alpha 90.00
_cell_angle_beta 90.00
_cell_angle_gamma 90.00
loop_
_atom_site_label
_atom_site_type_symbol
_atom_site_fract_x
_atom_site_fract_y
_atom_site_fract_z
Sr1 Sr 0.0000 0.0000 0.0000
Mn1 Mn 0.0000 0.0000 0.5000
S1 S 0.5000 0.5000 0.5000
```

Values from the calculation:
V   132 Å³/cell

Computed energies relative to the best structure, in eV/atom: version P 0.000; version Q 1.931

Version P
DFT (PBE) results for a relaxed structure of Ta4MnS8.

```
data_Ta4MnS8
_symmetry_space_group_name_H-M 'P 63/m m c'
_symmetry_Int_Tables_number 194
_symmetry_space_group_name_Hall '-P 6c 2c'
_cell_length_a 6.6860
_cell_length_b 6.6860
_cell_length_c 12.4969
_cell_angle_alpha 90.00
_cell_angle_beta 90.00
_cell_angle_gamma 120.00
loop_
_atom_site_label
_atom_site_type_symbol
_atom_site_fract_x
_atom_site_fract_y
_atom_site_fract_z
Ta1 Ta 0.0000 0.0000 0.2500
Ta2 Ta 0.0116 0.5058 0.2500
Mn1 Mn 0.0000 0.0000 0.0000
S1 S 0.1685 0.3369 0.6255
S2 S 0.3333 0.6667 0.1216
```

Values from the calculation:
V   484 Å³/cell

Version Q
DFT (PBE) results for a relaxed structure of Ta4MnS8.

```
data_Ta4MnS8
_symmetry_space_group_name_H-M 'C 1 2/m 1'
_symmetry_Int_Tables_number 12
_symmetry_space_group_name_Hall '-C 2y'
_cell_length_a 11.7169
_cell_length_b 6.8886
_cell_length_c 8.2780
_cell_angle_alpha 90.00
_cell_angle_beta 133.12
_cell_angle_gamma 90.00
loop_
_atom_site_label
_atom_site_type_symbol
_atom_site_fract_x
_atom_site_fract_y
_atom_site_fract_z
Ta1 Ta 0.0000 0.2093 0.0000
Ta2 Ta 0.2319 0.0000 0.9936
Mn1 Mn 0.0000 0.5000 0.5000
S1 S 0.0240 0.5000 0.2195
S2 S 0.0534 0.0000 0.2849
S3 S 0.2107 0.2478 0.7460
```

Values from the calculation:
V   488 Å³/cell

Computed energies relative to the best structure, in eV/atom: version P 0.000; version Q 0.103